[1]
VASP calculation (PBE) on Y3PdRh after structural relaxation.

## Properties
Relative energy among the computed polymorphs in eV/atom: 0.003
Total DFT energy (no corrections) in eV per formula unit: -35.5

Cell and atoms, written as POSCAR:
```
Y3PdRh
1.0
8.6507 0.0000 0.0000
0.0000 7.4543 0.0000
-1.8857 0.0000 7.7083
Y Pd Rh
12 4 4
Cartesian
0.2126 0.0361 1.6784
-0.7302 3.6910 5.5325
1.3945 1.0734 4.7557
2.3374 2.6537 0.9016
2.2312 5.1397 3.7919
1.2884 6.0417 7.6461
5.4766 1.4126 0.0622
4.5338 2.3146 3.9163
4.4277 4.8005 6.8067
5.3705 6.3809 2.9526
7.4953 3.7632 2.1757
6.5524 7.4182 6.0299
0.4408 5.1070 0.1765
-0.5021 6.0744 4.0306
7.2671 1.3798 3.6777
6.3243 2.3473 7.5318
3.0315 0.3298 2.3349
2.0887 3.3973 6.1890
4.6764 4.0569 1.5192
3.7335 7.1245 5.3734
```


[2]
VASP calculation (PBE) on Zr3Zn after structural relaxation.

## Properties
Total DFT energy (no corrections) in eV per formula unit: -27.0

Cell and atoms, written as POSCAR:
```
Zr3Zn
1.0
3.2597 -4.1465 0.0000
3.2597 4.1465 0.0000
0.0000 0.0000 3.1295
Zr Zn
3 1
Cartesian
0.0000 0.0000 0.0000
1.6298 2.0733 1.5647
1.6298 -2.0733 1.5647
3.2597 0.0000 0.0000
```


[3]
VASP calculation (PBE) on YZrIn after structural relaxation.

## Properties
Relative energy among the computed polymorphs in eV/atom: 0.145
Total DFT energy (no corrections) in eV per formula unit: -18.0

Cell and atoms, written as POSCAR:
```
YZrIn
1.0
5.1257 0.0000 0.0000
-2.5629 4.4390 0.0000
0.0000 0.0000 3.4769
Y Zr In
1 1 1
Cartesian
0.0000 0.0000 0.0000
2.5629 1.4797 1.7309
0.0000 2.9594 1.7572
```


Ρ values, unit g/cm3, following the record order: 6.36, 6.66, 6.19.